PrEr2Si2Pt7 | PBE-GGA | relaxed Values from VASP.

Structure (Quantum ESPRESSO input):
```
&SYSTEM
  ibrav = 0, nat = 12, ntyp = 4
/
ATOMIC_SPECIES
Er 167.26 Er.upf
Pt 195.08 Pt.upf
Pr 140.91 Pr.upf
Si 28.09 Si.upf
CELL_PARAMETERS angstrom
4.068 0.023 -0.071
0.028 4.068 -0.071
1.782 1.780 13.642
ATOMIC_POSITIONS crystal
Er 0.120 0.120 0.640
Pt 0.434 0.933 0.170
Pr 0.000 0.000 0.000
Si 0.602 0.602 0.737
Si 0.398 0.398 0.263
Pt 0.638 0.638 0.569
Pt 0.067 0.566 0.830
Pt 0.362 0.362 0.431
Pt 0.566 0.067 0.830
Er 0.880 0.880 0.360
Pt 0.933 0.434 0.170
Pt 0.500 0.500 0.000
```

**Raw formation energy**: -1043 meV/atom
**Magnetization**: 0.00 μB per formula unit